Density functional theory data (PBE-GGA) for crystalline NaLa2NpO6 at its relaxed geometry.

Unit cell a=5.8463 b=6.0092 c=10.7706 alpha=90.00 beta=121.33 gamma=90.00
Space group P2_1/c (No. 14)
Asymmetric unit:
Na: 0.0000 0.0000 0.0000 x2
La: 0.2115 0.0491 0.7422 x4
Np: 0.5000 0.0000 0.5000 x2
O: 0.1691 0.1970 0.4398 x4
O: 0.1985 0.7305 0.3928 x4
O: 0.4519 0.0978 0.2932 x4

Density functional theory data (PBE-GGA) for crystalline Na2La2NpO6 at its relaxed geometry.

Unit cell a=6.3218 b=10.9330 c=5.9075 alpha=90.00 beta=107.08 gamma=90.00
Space group C2/m (No. 12)
Asymmetric unit:
Na: 0.0000 0.1533 0.0000 x4
La: 0.0000 0.3347 0.5000 x4
Np: 0.0000 0.0000 0.5000 x2
O: 0.2040 0.1643 0.6961 x8
O: 0.2332 0.0000 0.2966 x4

Density functional theory data (PBE-GGA) for crystalline NaLa2NpS6 at its relaxed geometry.

Unit cell a=6.8125 b=7.4313 c=11.6734 alpha=90.00 beta=121.81 gamma=90.00
Space group P2_1/c (No. 14)
Asymmetric unit:
Na: 0.0000 0.0000 0.0000 x2
La: 0.1977 0.0914 0.7384 x4
Np: 0.5000 0.0000 0.5000 x2
S: 0.1343 0.1776 0.4418 x4
S: 0.2469 0.7056 0.4155 x4
S: 0.4102 0.0628 0.2593 x4

Density functional theory data (PBE-GGA) for crystalline Na2LaNpS4 at its relaxed geometry.

Unit cell a=7.0849 b=4.1321 c=7.1740 alpha=90.00 beta=109.92 gamma=90.00
Space group P2/m (No. 10)
Asymmetric unit:
Na: 0.0000 0.0000 0.0000 x1
Na: 0.0000 0.5000 0.5000 x1
La: 0.5000 0.0000 0.5000 x1
Np: 0.5000 0.5000 0.0000 x1
S: 0.2657 0.5000 0.2467 x2
S: 0.2724 0.0000 0.7668 x2

Density functional theory data (PBE-GGA) for crystalline Na3LaNp2S6 at its relaxed geometry.

Unit cell a=7.0822 b=12.2691 c=7.0704 alpha=90.00 beta=109.57 gamma=90.00
Space group C2/m (No. 12)
Asymmetric unit:
Na: 0.0000 0.0000 0.0000 x2
Na: 0.0000 0.3336 0.0000 x4
La: 0.0000 0.5000 0.5000 x2
Np: 0.0000 0.1667 0.5000 x4
S: 0.2315 0.0000 0.7312 x4
S: 0.2495 0.3271 0.7289 x8

Density functional theory data (PBE-GGA) for crystalline Na3La2NpSe6 at its relaxed geometry.

Unit cell a=7.5078 b=12.9907 c=7.4038 alpha=90.00 beta=109.70 gamma=90.00
Space group C2/m (No. 12)
Asymmetric unit:
Na: 0.0000 0.0000 0.0000 x2
Na: 0.0000 0.3332 0.0000 x4
La: 0.0000 0.1672 0.5000 x4
Np: 0.0000 0.5000 0.5000 x2
Se: 0.2419 0.3370 0.7369 x8
Se: 0.2472 0.5000 0.2657 x4

For reference, formation energy from raw total energies by record: -30.449 -29.814 -16.566 -12.698 -18.090 -18.683 eV per formula unit.
For reference, calculated density by record: 6.5 5.6 4.8 4.6 5.0 5.2 Mg/m³.